A relaxed structure of KRb2Ba, computed with GGA-PBE.

Calculated values
- DOS at the Fermi energy: 13.82 states/eV per cell
- E_form: 2.72 kcal/mol of atoms
- M_tot: 0.21 μB per formula unit

Cell lengths 4.6213, 4.6213, 51.0222 Å; angles 90.00, 90.00, 120.00 degrees
Space group R-3m (No. 166, hexagonal axes)
Unique sites:
K 0.0000 0.0000 0.0000 x3
Rb 0.0000 0.0000 0.4137 x6
Ba 0.0000 0.0000 0.5000 x3

***

A relaxed structure of PmNdHg3, computed with GGA-PBE.

Calculated values
- DOS at the Fermi energy: 24.43 states/eV per cell
- E_form: -4.65 kcal/mol of atoms
- M_tot: 0.00 μB per formula unit

Cell lengths 7.203, 12.461, 6.793 Å; angles 90.00, 90.00, 90.00 degrees
Space group Cmcm (No. 63)
Unique sites:
Pm 0.000 0.000 0.000 x4
Nd 0.000 0.333 0.250 x4
Hg 0.000 0.201 0.750 x4
Hg 0.199 0.400 0.750 x8

***

A relaxed structure of TlCuTe2, computed with GGA-PBE.

Calculated values
- DOS at the Fermi energy: 4.22 states/eV per cell
- Formation energy without anion corrections: -28 meV per atom
- M_tot: 0.00 μB per formula unit

Cell lengths 11.130, 3.993, 6.624 Å; angles 90.00, 126.00, 90.00 degrees
Space group C2/m (No. 12)
Unique sites:
Tl 0.000 0.000 0.000 x2
Cu 0.000 0.500 0.500 x2
Te 0.179 0.000 0.680 x4

***

Q: Among the records above, which one has the highest M_tot?
A: KRb2Ba

***

Q: M_tot of number 2 (PmNdHg3)?
A: 0.00 μB per formula unit

***

Q: What is the formula in the second record?
A: PmNdHg3

***

Q: Which formula does entry 3 have?
A: TlCuTe2